No. 1
Material: Tm3As3W2N12
Method: DFT, PBE
State: optimized geometry

a = 12.3606 Å, b = 12.3606 Å, c = 12.3606 Å
α = 90.00°, β = 90.00°, γ = 90.00°
Space group Ia-3d (No. 230)
Inequivalent atoms, fractional coordinates:
Tm1 0.0000 0.2500 0.1250 (multiplicity 24)
As1 0.0000 0.2500 0.3750 (multiplicity 24)
W1 0.0000 0.0000 0.0000 (multiplicity 16)
N1 0.0331 0.0549 0.6504 (multiplicity 96)

=====

No. 2
Material: Nd4IrBr5
Method: DFT, PBE
State: optimized geometry

a = 19.0825 Å, b = 4.1111 Å, c = 8.7176 Å
α = 90.00°, β = 104.33°, γ = 90.00°
Space group C2/m (No. 12)
Inequivalent atoms, fractional coordinates:
Nd1 0.0002 0.0000 0.2179 (multiplicity 4)
Nd2 0.1525 0.5000 0.0910 (multiplicity 4)
Ir1 0.0000 0.5000 0.0000 (multiplicity 2)
Br1 0.0000 0.5000 0.5000 (multiplicity 2)
Br2 0.1688 0.0000 0.3468 (multiplicity 4)
Br3 0.1737 0.0000 0.8439 (multiplicity 4)

=====

No. 3
Material: Tb2PrO3
Method: DFT, PBE
State: optimized geometry

a = 3.4647 Å, b = 3.4647 Å, c = 8.5757 Å
α = 90.00°, β = 90.00°, γ = 120.00°
Space group P-3m1 (No. 164)
Inequivalent atoms, fractional coordinates:
Tb1 0.3333 0.6667 0.1643 (multiplicity 2)
Pr1 0.0000 0.0000 0.5000 (multiplicity 1)
O1 0.0000 0.0000 0.0000 (multiplicity 1)
O2 0.3333 0.6667 0.6976 (multiplicity 2)

=====

No. 4
Material: TbDyMg2Au4
Method: DFT, PBE
State: optimized geometry

a = 4.8732 Å, b = 4.8732 Å, c = 6.8922 Å
α = 90.00°, β = 90.00°, γ = 90.00°
Space group P4/mmm (No. 123)
Inequivalent atoms, fractional coordinates:
Tb1 0.0000 0.0000 0.0000 (multiplicity 1)
Dy1 0.5000 0.5000 0.5000 (multiplicity 1)
Mg1 0.0000 0.0000 0.5000 (multiplicity 1)
Mg2 0.5000 0.5000 0.0000 (multiplicity 1)
Au1 0.0000 0.5000 0.2502 (multiplicity 4)

=====

| no. | calculated volume (Å³/atom) | raw total energy (eV per atom) |
| --- | --- | --- |
| 1 | 11.8 | -8.156 |
| 2 | 33.1 | -5.110 |
| 3 | 14.9 | -7.609 |
| 4 | 20.5 | -3.953 |